The following is a PBE calculation of CePmDyEr after structural relaxation, from Alexandria via LeMat-Bulk.

Summary:
Calculated volume in Å³/atom: 32.45
Formation enthalpy at 0 K in eV/atom: 0.1947
Density in g/cm³: 7.87
Crystal system: cubic
Size of the total moment in μB per formula unit: 3.1
SG: F-43m

```
4
Lattice="-1.4888 -2.6926 4.7782 1.6845 -5.3547 0.8870 3.9136 -1.1281 3.9634" Properties=species:S:1:pos:R:3 pbc="T T T"
Er 2.0547 -4.5877 4.8143
Dy 3.0821 -6.8816 7.2214
Pm 1.0274 -2.2939 2.4071
Ce 0.0000 0.0000 0.0000
```



The following is a PBE calculation of CePmDy4Er2 after structural relaxation, from Alexandria via LeMat-Bulk.

Summary:
Calculated volume in Å³/atom: 31.51
Formation enthalpy at 0 K in eV/atom: 0.0468
Density in g/cm³: 8.36
Crystal system: tetragonal
Size of the total moment in μB per formula unit: 1.0
SG: P4/mmm

```
8
Lattice="5.0206 0.0000 0.0000 0.0000 4.8964 1.0887 0.0000 2.7262 10.8590" Properties=species:S:1:pos:R:3 pbc="T T T"
Dy 5.0206 1.9009 3.0124
Dy 0.0001 5.7216 8.9353
Dy 2.5103 4.3465 3.5606
Dy 2.5103 3.2760 8.3871
Pm 2.5103 2.4482 0.5444
Ce 0.0000 3.8113 5.9739
Er 0.0000 2.7262 10.8590
Er 2.5103 1.3631 5.4295
```



The following is a PBE calculation of CePr6Dy2Er after structural relaxation, from Alexandria via LeMat-Bulk.

Summary:
Calculated volume in Å³/atom: 34.99
Formation enthalpy at 0 K in eV/atom: 0.2314
Density in g/cm³: 7.01
Crystal system: monoclinic
Size of the total moment in μB per formula unit: 1.1
SG: C2/m

```
10
Lattice="-2.3405 1.6169 8.4283 -6.8907 -0.2055 -1.8741 3.6768 -5.5466 0.7057" Properties=species:S:1:pos:R:3 pbc="T T T"
Pr -1.1896 -3.2754 4.7330
Pr -4.3649 -0.8597 2.5269
Pr -2.1671 -3.4404 1.0710
Pr -7.0686 -0.8045 5.1876
Pr 1.5142 -3.3306 2.0723
Pr -3.3873 -0.6947 6.1889
Er -1.1703 0.8085 4.2142
Dy -0.3401 -0.7791 1.3358
Dy -5.2144 -3.3561 5.9241
Ce -3.4454 -0.1028 -0.9371
```



The following is a PBE calculation of Ce2PrDy6Er3 after structural relaxation, from Alexandria via LeMat-Bulk.

Summary:
Calculated volume in Å³/atom: 31.40
Formation enthalpy at 0 K in eV/atom: 0.0525
Density in g/cm³: 8.36
Crystal system: monoclinic
Size of the total moment in μB per formula unit: 1.8
SG: C2/m

```
12
Lattice="6.1343 -0.0007 0.0030 -3.0663 5.3129 0.0030 -1.0282 -1.7803 11.5606" Properties=species:S:1:pos:R:3 pbc="T T T"
Dy 2.0370 3.5270 2.9138
Dy 2.0643 0.0012 2.9113
Dy -0.0245 3.5306 8.6553
Dy 0.0028 0.0049 8.6527
Dy 3.0704 1.7433 8.6553
Dy -1.0306 1.7886 2.9113
Ce -0.0001 3.5421 0.0030
Ce 3.0681 1.7701 0.0030
Er -2.0493 3.5385 5.7833
Er 1.0199 1.7659 5.7833
Er 4.0891 -0.0067 5.7833
Pr 0.0000 0.0000 0.0000
```



The following is a PBE calculation of CePr2Dy2Er2 after structural relaxation, from Alexandria via LeMat-Bulk.

Summary:
Calculated volume in Å³/atom: 32.86
Formation enthalpy at 0 K in eV/atom: 0.1489
Density in g/cm³: 7.81
Crystal system: monoclinic
Size of the total moment in μB per formula unit: 1.4
SG: C2/m

```
7
Lattice="3.4456 0.0000 0.0000 -1.7228 22.3608 -7.5125 0.0000 -13.2909 7.4505" Properties=species:S:1:pos:R:3 pbc="T T T"
Ce 0.0000 -6.6454 3.7253
Dy 1.7228 1.6646 0.3662
Dy 0.0000 7.4053 -0.4282
Er 1.7228 18.2938 -6.0135
Er 0.0000 -9.2239 5.9516
Pr 1.7228 9.7398 -2.7324
Pr 0.0000 -0.6699 2.6705
```



The following is a PBE calculation of CePr2DyEr after structural relaxation, from Alexandria via LeMat-Bulk.

Summary:
Calculated volume in Å³/atom: 33.77
Formation enthalpy at 0 K in eV/atom: 0.2772
Density in g/cm³: 7.39
Crystal system: orthorhombic
Size of the total moment in μB per formula unit: 0.5
SG: Pmma

```
10
Lattice="-7.3720 -1.9580 -2.8229 0.6416 -6.2393 2.6516 -2.5107 1.9523 5.2028" Properties=species:S:1:pos:R:3 pbc="T T T"
Pr -6.4945 -4.4578 3.8996
Pr -2.4481 -4.6926 2.3669
Pr -2.7466 -1.7872 1.1319
Pr -6.7931 -1.5524 2.6645
Ce 0.0000 0.0000 0.0000
Ce -1.2554 0.9761 2.6014
Er -2.4766 -1.8983 4.8778
Er -6.7646 -4.3467 0.1537
Dy -4.5123 0.7659 2.8953
Dy -4.7288 -7.0109 2.1361
```



The following is a PBE calculation of CePr6DyEr2 after structural relaxation, from Alexandria via LeMat-Bulk.

Summary:
Calculated volume in Å³/atom: 34.90
Formation enthalpy at 0 K in eV/atom: 0.2326
Density in g/cm³: 7.05
Crystal system: monoclinic
Size of the total moment in μB per formula unit: 1.2
SG: C2/m

```
10
Lattice="8.7948 0.0000 1.2718 0.0000 7.1443 0.0000 -2.0237 -3.5721 5.2612" Properties=species:S:1:pos:R:3 pbc="T T T"
Pr 0.4507 1.9127 3.7352
Pr 3.5998 0.0000 4.6326
Pr 6.3205 5.4848 2.7978
Pr 6.3205 1.6595 2.7978
Pr 0.4507 -1.9127 3.7352
Pr 3.1713 3.5721 1.9004
Er 5.7330 3.5721 5.3467
Er 1.0381 0.0000 1.1863
Dy 4.3974 0.0000 0.6359
Ce 0.0000 3.5721 0.0000
```



The following is a PBE calculation of CeDyEr2Ru4 after structural relaxation, from Alexandria via LeMat-Bulk.

Summary:
Calculated volume in Å³/atom: 19.58
Formation enthalpy at 0 K in eV/atom: -0.4122
Density in g/cm³: 11.04
Crystal system: trigonal
Size of the total moment in μB per formula unit: 0.0
SG: R-3m

```
8
Lattice="-3.0341 3.1605 -2.0352 -0.9453 -0.2616 -4.7301 -7.2653 -3.8009 -0.8045" Properties=species:S:1:pos:R:3 pbc="T T T"
Dy 0.0000 0.0000 0.0000
Er -8.4771 -0.7116 -5.6667
Er -2.7676 -0.1905 -1.9031
Ru -6.2501 1.0761 -6.2106
Ru -3.4709 1.2760 -4.3104
Ru -4.9946 -1.9782 -1.3591
Ru -7.7738 -2.1781 -3.2594
Ce -5.6224 -0.4511 -3.7849
```



The following is a PBE calculation of Ce4Dy3ErS8 after structural relaxation, from Alexandria via LeMat-Bulk.

Summary:
Calculated volume in Å³/atom: 21.95
Density in g/cm³: 6.96
Crystal system: trigonal
Formation energy (no corrections) in eV/f.u.: -32.4
Size of the total moment in μB per formula unit: 2.7
SG: R-3m

```
16
Lattice="7.8821 0.0000 0.0000 0.0000 7.9566 0.0466 -3.9410 -3.9369 5.5765" Properties=species:S:1:pos:R:3 pbc="T T T"
S 5.9224 2.0615 0.0552
S -1.9814 1.9582 5.5679
S 1.9814 1.9582 5.5679
S 0.0000 3.9373 2.7645
S 0.0000 0.0827 2.8435
S 3.9410 0.0824 2.8586
S 3.9410 3.9370 2.7795
S 1.9597 2.0615 0.0552
Dy 3.9410 3.9783 0.0233
Dy -1.9705 2.0098 2.8115
Dy 1.9705 2.0098 2.8115
Ce 1.9705 -1.9685 2.7882
Ce -1.9705 -1.9685 2.7882
Ce 3.9410 0.0000 0.0000
Ce 0.0000 0.0000 0.0000
Er 0.0000 3.9783 0.0233
```



The following is a PBE calculation of Ce2Dy3ErS6 after structural relaxation, from Alexandria via LeMat-Bulk.

Summary:
Calculated volume in Å³/atom: 21.61
Density in g/cm³: 7.22
Crystal system: monoclinic
Formation energy (no corrections) in eV/f.u.: -24.1
Size of the total moment in μB per formula unit: 1.7
SG: C2/m

```
12
Lattice="-1.6967 -0.2302 -3.5303 -3.3643 -6.8590 2.0641 -4.9381 5.9920 4.1629" Properties=species:S:1:pos:R:3 pbc="T T T"
S -6.9896 -2.4045 3.5160
S -3.0095 1.3073 -0.8193
S -5.2739 1.1446 2.4600
S -2.5694 -5.1450 1.5703
S -7.4297 4.0478 1.1264
S -4.7252 -2.2418 0.2367
Dy -5.2551 2.6373 0.1733
Dy -2.5305 -3.5446 -0.7331
Dy -4.7440 -3.7345 2.5234
Ce -6.9283 -0.7611 1.1990
Ce -3.0708 -0.3362 1.4978
Er -0.8483 -0.1151 -1.7652
```



The following is a PBE calculation of Ce3Dy3ErS8 after structural relaxation, from Alexandria via LeMat-Bulk.

Summary:
Calculated volume in Å³/atom: 23.42
Density in g/cm³: 6.29
Crystal system: trigonal
Formation energy (no corrections) in eV/f.u.: -30.8
Size of the total moment in μB per formula unit: 3.4
SG: R-3m

```
15
Lattice="7.8734 0.0000 0.0001 -3.9367 6.8178 -0.0241 0.0001 -4.5221 6.5603" Properties=species:S:1:pos:R:3 pbc="T T T"
S 0.0000 2.2787 1.7057
S 3.9367 0.0170 4.8306
S 1.9639 -1.1330 1.7197
S 0.0000 0.0118 4.8288
S -1.9728 3.4287 4.8165
S 1.9728 3.4287 4.8166
S 3.9367 2.2838 1.7075
S 5.9095 -1.1330 1.7198
Ce -1.9684 3.4089 -0.0121
Ce 1.9683 3.4089 -0.0120
Ce 0.0000 0.0000 0.0000
Dy 1.9684 1.1478 3.2681
Dy 3.9367 -2.2611 3.2802
Dy -1.9683 1.1479 3.2681
Er 0.0000 -2.2611 3.2802
```



The following is a PBE calculation of Ce2DyErS5 after structural relaxation, from Alexandria via LeMat-Bulk.

Summary:
Calculated volume in Å³/atom: 27.19
Density in g/cm³: 5.23
Crystal system: tetragonal
Formation energy (no corrections) in eV/f.u.: -13.5
Size of the total moment in μB per formula unit: 3.3
SG: P4/mmm

```
9
Lattice="4.8786 0.0000 0.0000 0.0000 4.8786 0.0000 0.0000 0.0000 10.2833" Properties=species:S:1:pos:R:3 pbc="T T T"
S 0.0000 2.4393 5.1416
S 0.0000 0.0000 7.7628
S 2.4393 2.4393 0.0000
S 0.0000 0.0000 2.5205
S 2.4393 0.0000 5.1416
Dy 0.0000 0.0000 0.0000
Ce 2.4393 2.4393 7.2053
Ce 2.4393 2.4393 3.0780
Er 0.0000 0.0000 5.1416
```



The following is a PBE calculation of Ce3DyEr3S8 after structural relaxation, from Alexandria via LeMat-Bulk.

Summary:
Calculated volume in Å³/atom: 23.14
Density in g/cm³: 6.42
Crystal system: trigonal
Formation energy (no corrections) in eV/f.u.: -30.6
Size of the total moment in μB per formula unit: 3.5
SG: R-3m

```
15
Lattice="-7.1408 3.2061 0.2911 0.7908 -7.7900 -0.1981 2.0549 3.9788 6.5624" Properties=species:S:1:pos:R:3 pbc="T T T"
S -1.2985 1.7914 1.7929
S -4.4320 -0.4704 1.8389
S -4.8222 3.3735 1.9366
S 0.5271 -3.9786 4.7188
S -3.4222 1.4958 4.9405
S -0.8730 -2.1009 1.7150
S 0.1368 -0.1347 4.8166
S -2.9966 -2.3965 4.8625
Ce -3.1750 -2.2920 0.0465
Ce 0.3954 -3.8950 -0.0991
Ce 0.0000 0.0000 0.0000
Er 1.4228 -1.9056 3.1822
Er -2.1476 -0.3026 3.3277
Er -2.5430 3.5925 3.4268
Dy 1.0274 1.9894 3.2812
```



The following is a PBE calculation of CeDy4Er3S8 after structural relaxation, from Alexandria via LeMat-Bulk.

Summary:
Calculated volume in Å³/atom: 21.03
Density in g/cm³: 7.64
Crystal system: trigonal
Formation energy (no corrections) in eV/f.u.: -31.8
Size of the total moment in μB per formula unit: 0.0
SG: R-3m

```
16
Lattice="7.8114 0.0000 0.0000 0.0000 7.8041 -0.0105 -3.9057 -3.9017 5.5261" Properties=species:S:1:pos:R:3 pbc="T T T"
Dy 1.9529 -1.9509 2.7631
Dy -1.9528 -1.9509 2.7631
Dy 0.0000 0.0000 0.0000
Dy 3.9057 0.0000 0.0000
S 0.0000 0.0212 2.7755
S 3.9057 3.8811 2.7401
S 3.9057 0.0214 2.7279
S 5.8250 1.9385 0.0124
S 0.0000 3.8809 2.7877
S 1.9193 1.9637 5.5032
S 1.9864 1.9386 0.0124
S -1.9193 1.9637 5.5031
Er 3.9057 3.9020 -0.0053
Er -1.9529 1.9512 2.7578
Er 1.9528 1.9511 2.7578
Ce 0.0000 3.9020 -0.0053
```



The following is a PBE calculation of Ce4DyEr3S8 after structural relaxation, from Alexandria via LeMat-Bulk.

Summary:
Calculated volume in Å³/atom: 21.78
Density in g/cm³: 7.06
Crystal system: trigonal
Formation energy (no corrections) in eV/f.u.: -32.3
Size of the total moment in μB per formula unit: 2.7
SG: R-3m

```
16
Lattice="7.8497 0.0000 0.0000 0.0000 7.9491 0.0647 -3.9248 -3.9213 5.5534" Properties=species:S:1:pos:R:3 pbc="T T T"
S 1.9516 1.9681 5.5431
S 5.8765 2.0597 0.0750
S -1.9516 1.9681 5.5431
S 0.0000 3.9178 2.7818
S 0.0000 0.1096 2.8514
S 3.9249 0.1100 2.8363
S 1.9732 2.0597 0.0750
S 3.9249 3.9182 2.7667
Dy 0.0000 3.9745 0.0324
Er 1.9624 2.0139 2.8091
Er 3.9248 3.9745 0.0324
Er -1.9624 2.0139 2.8091
Ce 1.9624 -1.9606 2.7767
Ce -1.9624 -1.9606 2.7767
Ce 3.9248 0.0000 0.0000
Ce 0.0000 0.0000 0.0000
```



The following is a PBE calculation of CeDyEr2S4 after structural relaxation, from Alexandria via LeMat-Bulk.

Summary:
Calculated volume in Å³/atom: 21.19
Density in g/cm³: 7.50
Crystal system: monoclinic
Formation energy (no corrections) in eV/f.u.: -15.9
Size of the total moment in μB per formula unit: 0.7
SG: P2/m

```
8
Lattice="3.8893 0.0000 0.0000 0.0000 6.7763 0.1269 0.0000 -2.3580 6.3883" Properties=species:S:1:pos:R:3 pbc="T T T"
Er 1.9447 -1.1790 3.1941
Er 0.0000 2.2092 3.2576
Ce 1.9447 3.3882 0.0634
S 1.9447 3.3454 4.8388
S 0.0000 -0.1058 4.7502
S 0.0000 4.5241 1.7650
S 1.9447 1.0729 1.6764
Dy 0.0000 0.0000 0.0000
```



The following is a PBE calculation of CeDy3Er4S8 after structural relaxation, from Alexandria via LeMat-Bulk.

Summary:
Calculated volume in Å³/atom: 20.95
Density in g/cm³: 7.69
Crystal system: trigonal
Formation energy (no corrections) in eV/f.u.: -31.7
Size of the total moment in μB per formula unit: 0.0
SG: R-3m

```
16
Lattice="7.7908 0.0000 0.0000 0.0000 7.8037 0.0048 -3.8954 -3.8908 5.5113" Properties=species:S:1:pos:R:3 pbc="T T T"
Er 3.8954 0.0000 0.0000
Er -1.9477 -1.9454 2.7556
Er 0.0000 0.0000 0.0000
Er 1.9477 -1.9454 2.7556
S 5.8197 5.8973 0.0183
S 0.0000 3.9282 2.8070
S 1.9243 -1.9844 5.4978
S 1.9712 5.8973 0.0183
S -1.9243 -1.9844 5.4978
S 3.8954 3.9285 2.7741
S 3.8954 -0.0153 2.7091
S 0.0000 -0.0157 2.7420
Ce 0.0000 3.9018 0.0024
Dy 3.8954 3.9018 0.0024
Dy 1.9477 1.9564 2.7580
Dy -1.9477 1.9564 2.7580
```



The following is a PBE calculation of Ce2DyErSb5 after structural relaxation, from Alexandria via LeMat-Bulk.

Summary:
Calculated volume in Å³/atom: 35.69
Density in g/cm³: 6.30
Crystal system: tetragonal
Formation energy (no corrections) in eV/f.u.: -2.7
Size of the total moment in μB per formula unit: 1.7
SG: P4/mmm

```
9
Lattice="-0.0670 -4.2977 3.0574 5.2510 -0.3415 -0.3650 1.0843 6.6523 9.3747" Properties=species:S:1:pos:R:3 pbc="T T T"
Sb 0.8155 5.0028 7.0502
Sb 2.5920 -2.3196 1.3462
Sb 0.5087 1.1773 6.2161
Sb 3.1676 3.1554 4.5049
Sb 0.2689 1.6495 2.3245
Ce 2.9037 -0.4073 4.0411
Ce 3.3646 2.4204 8.0260
Dy 0.0000 0.0000 0.0000
Er 0.5422 3.3261 4.6874
```



The following is a PBE calculation of CeDy2ErSb4 after structural relaxation, from Alexandria via LeMat-Bulk.

Summary:
Calculated volume in Å³/atom: 30.23
Density in g/cm³: 7.69
Crystal system: monoclinic
Formation energy (no corrections) in eV/f.u.: -8.8
Size of the total moment in μB per formula unit: 0.7
SG: P2/m

```
8
Lattice="4.4073 0.0000 0.0000 0.0000 7.6300 -0.1541 0.0000 2.6818 7.1386" Properties=species:S:1:pos:R:3 pbc="T T T"
Sb 0.0001 7.7459 5.2042
Sb 2.2037 3.9092 5.2931
Sb 2.2037 6.4026 1.6915
Sb 4.4073 2.5659 1.7803
Dy 0.0000 2.6818 7.1386
Dy 2.2037 1.3409 3.5693
Ce 2.2037 3.8150 -0.0770
Er 0.0000 5.1559 3.4923
```



The following is a PBE calculation of Ce2DyErSb4 after structural relaxation, from Alexandria via LeMat-Bulk.

Summary:
Calculated volume in Å³/atom: 30.80
Density in g/cm³: 7.39
Crystal system: monoclinic
Formation energy (no corrections) in eV/f.u.: -8.6
Size of the total moment in μB per formula unit: 1.6
SG: P2/m

```
8
Lattice="4.4342 0.0000 0.0000 0.0000 7.6693 -0.1481 0.0000 2.7029 7.1926" Properties=species:S:1:pos:R:3 pbc="T T T"
Sb 0.0001 7.7284 5.2944
Sb 2.2171 3.9949 5.3302
Sb 4.4342 2.6437 1.7502
Sb 2.2171 6.3773 1.7144
Dy 2.2171 3.8347 -0.0740
Ce 0.0000 2.7029 7.1926
Ce 2.2171 1.3514 3.5963
Er 0.0000 5.1860 3.5223
```